# Cs2H4Rh

Crystalline Cs2H4Rh at its relaxed geometry (GGA-PBE, Alexandria). Values from VASP.

Calculated values
As for the symmetry: I4/mmm, No. 139. The calculation puts the total moment at 0.00 Bohr magnetons per cell. The calculation puts the uncorrected energy at -3.36 eV/atom. As for the density of states at the Fermi level: 0.251 states/eV/atom. For the theoretical density, the calculation gives 5.2 g/cm³.

```
&SYSTEM
  ibrav = 0, nat = 7, ntyp = 3
/
ATOMIC_SPECIES
Cs 132.91 Cs.upf
H 1.01 H.upf
Rh 102.91 Rh.upf
CELL_PARAMETERS angstrom
-1.963 1.963 7.747
1.963 -1.963 7.747
1.963 1.963 -7.747
ATOMIC_POSITIONS crystal
Cs 0.146 0.146 0.000
Cs 0.854 0.854 0.000
H 0.000 0.500 0.500
H 0.391 0.391 0.000
H 0.500 0.000 0.500
H 0.609 0.609 0.000
Rh 0.500 0.500 0.000
```